Entry 1:
The following is a DFT calculation (meta-GGA SCAN) of NaZnP at its PBEsol-relaxed geometry.

Cell lengths 4.0028, 4.0028, 6.8491 Å; angles 90.00, 90.00, 90.00 degrees
Atoms (fractional coordinates):
P (0.5000, 0.0000, 0.7879)
P (0.0000, 0.5000, 0.2121)
Zn (0.0000, 0.0000, 0.0000)
Zn (0.5000, 0.5000, 0.0000)
Na (0.0000, 0.5000, 0.6443)
Na (0.5000, 0.0000, 0.3557)

VASP energy (eV/atom): -9.876
Space group: No. 129
Energy of formation (eV/atom): -0.4993



Entry 2:
The following is a DFT calculation (meta-GGA SCAN) of Ti2BeTe2 at its PBEsol-relaxed geometry.

Cell lengths 3.7300, 3.7300, 8.1034 Å; angles 103.31, 103.31, 90.00 degrees
Atoms (fractional coordinates):
Be (0.0000, 0.0000, 0.0000)
Te (0.3877, 0.3877, 0.7753)
Te (0.6123, 0.6123, 0.2247)
Ti (0.2500, 0.7500, 0.5000)
Ti (0.7500, 0.2500, 0.5000)

VASP energy (eV/atom): -21.911
Space group: No. 139
Energy relative to the elements, uncorrected (eV/atom): 0.272



| no. | magnetic moment (μB/atom) |
| --- | --- |
| 1 | 0.0000 |
| 2 | 0.0013 |